DFT (GGA-PBEsol) results for a relaxed structure of SrOs2.

Calculated values
Its space group is Immm (71). For the formation energy, the calculation gives 0.53 eV per atom. For the total energy, the calculation gives -8.226 eV per atom. Its density of states at the Fermi level is 2.417 states/eV/f.u.

a = 2.8032 Å, b = 3.8900 Å, c = 6.0778 Å
α = 108.66°, β = 103.33°, γ = 90.00°
Fractional coordinates of all 3 atoms:
Os 0.2129 0.7129 0.4257
Os 0.7871 0.2871 0.5743
Sr 0.5000 0.0000 0.0000

=====

DFT (GGA-PBEsol) results for a relaxed structure of KTlCl2.

Calculated values
The value obtained for the energy above the most stable polymorph in this dataset is 0 kJ/mol of formula units. Its space group is P4/mmm (123). For the total energy, the calculation gives -3.380 eV per atom. Its density of states at the Fermi level is 0.000 states/eV/f.u.

a = 4.4356 Å, b = 4.4356 Å, c = 6.2588 Å
α = 90.00°, β = 90.00°, γ = 90.00°
Fractional coordinates of all 4 atoms:
Cl 0.6232 0.6232 0.5000
Cl 0.1234 0.1234 0.0000
K 0.6233 0.6233 0.0000
Tl 0.1238 0.1238 0.5000

=====

DFT (GGA-PBEsol) results for a relaxed structure of TaTcW2.

Calculated values
Its space group is P4mm (99). For the formation energy, the calculation gives -0.15 eV per atom. For the total energy, the calculation gives -13.003 eV per atom. Its density of states at the Fermi level is 2.111 states/eV/f.u.

a = 3.1511 Å, b = 3.1511 Å, c = 6.3244 Å
α = 90.00°, β = 90.00°, γ = 90.00°
Fractional coordinates of all 4 atoms:
Tc 0.5000 0.5000 0.7524
W 0.0000 0.0000 0.0001
W 0.5000 0.5000 0.2439
Ta 0.0000 0.0000 0.5036

=====

DFT (GGA-PBEsol) results for a relaxed structure of MgSiIr2.

Calculated values
Its space group is P4/mmm (123). For the total energy, the calculation gives -7.387 eV per atom. Its density of states at the Fermi level is 1.348 states/eV/f.u.

a = 2.9097 Å, b = 2.9097 Å, c = 6.5700 Å
α = 90.00°, β = 90.00°, γ = 90.00°
Fractional coordinates of all 4 atoms:
Ir 0.0000 0.0000 0.2847
Ir 0.0000 0.0000 0.7153
Mg 0.5000 0.5000 0.0000
Si 0.5000 0.5000 0.5000

=====

DFT (GGA-PBEsol) results for a relaxed structure of PAuO3.

Calculated values
Its space group is Pm-3m (221). For the total energy, the calculation gives -4.376 eV per atom. Its density of states at the Fermi level is 2.587 states/eV/f.u.

a = 3.9709 Å, b = 3.9709 Å, c = 3.9709 Å
α = 90.00°, β = 90.00°, γ = 90.00°
Fractional coordinates of all 5 atoms:
O 0.5000 0.0000 0.0000
O 0.0000 0.0000 0.5000
O 0.0000 0.5000 0.0000
Au 0.0000 0.0000 0.0000
P 0.5000 0.5000 0.5000

=====

DFT (GGA-PBEsol) results for a relaxed structure of TaCrSb2.

Calculated values
The value obtained for the energy above the most stable polymorph in this dataset is 0 kJ/mol of formula units. Its space group is P4/mmm (123). For the total energy, the calculation gives -7.704 eV per atom. Its density of states at the Fermi level is 3.147 states/eV/f.u.

a = 3.3255 Å, b = 4.6964 Å, c = 4.6964 Å
α = 90.00°, β = 90.00°, γ = 90.00°
Fractional coordinates of all 4 atoms:
Ta 0.5000 0.5000 0.5000
Cr 0.5000 0.0000 0.0000
Sb 0.0000 0.0000 0.5000
Sb 0.0000 0.5000 0.0000

=====

DFT (GGA-PBEsol) results for a relaxed structure of InI2O.

Calculated values
Its space group is I-42d (122). For the total energy, the calculation gives -2.836 eV per atom. Its density of states at the Fermi level is 0.948 states/eV/f.u.

a = 6.7347 Å, b = 7.7376 Å, c = 6.7347 Å
α = 64.20°, β = 90.00°, γ = 115.80°
Fractional coordinates of all 8 atoms:
O 0.5000 0.0000 0.5000
O 0.2500 0.5000 0.2500
I 0.8750 0.2500 0.3250
I 0.3750 0.2500 0.4250
I 0.3250 0.7500 0.3750
I 0.4250 0.7500 0.8750
In 0.0000 0.0000 0.0000
In 0.7500 0.5000 0.7500

=====

DFT (GGA-PBEsol) results for a relaxed structure of NaCd3Os.

Calculated values
Its space group is Pm-3m (221). For the formation energy, the calculation gives 1.73 eV per atom. For the total energy, the calculation gives -1.715 eV per atom. Its density of states at the Fermi level is 4.972 states/eV/f.u.

a = 4.7200 Å, b = 4.7200 Å, c = 4.7200 Å
α = 90.00°, β = 90.00°, γ = 90.00°
Fractional coordinates of all 5 atoms:
Cd 0.5000 0.0000 0.0000
Cd 0.0000 0.0000 0.5000
Cd 0.0000 0.5000 0.0000
Os 0.5000 0.5000 0.5000
Na 0.0000 0.0000 0.0000

=====

DFT (GGA-PBEsol) results for a relaxed structure of LaRe.

Calculated values
The value obtained for the energy above the most stable polymorph in this dataset is 77 kJ/mol of formula units. Its space group is R-3m (166). For the formation energy, the calculation gives 1.00 eV per atom. For the total energy, the calculation gives -8.341 eV per atom. Its density of states at the Fermi level is 3.523 states/eV/f.u.

a = 3.2787 Å, b = 3.2787 Å, c = 4.9851 Å
α = 70.80°, β = 70.80°, γ = 60.00°
Fractional coordinates of all 2 atoms:
La 0.0000 0.0000 0.0000
Re 0.5000 0.5000 0.5000

=====

DFT (GGA-PBEsol) results for a relaxed structure of CsRbGe2Te.

Calculated values
Its space group is P4/mmm (123). For the total energy, the calculation gives -2.000 eV per atom. Its density of states at the Fermi level is 5.624 states/eV/f.u.

a = 5.7584 Å, b = 5.7584 Å, c = 6.3331 Å
α = 90.00°, β = 90.00°, γ = 90.00°
Fractional coordinates of all 5 atoms:
Ge 0.5000 0.0000 0.0000
Ge 0.0000 0.5000 0.0000
Te 0.5000 0.5000 0.5000
Cs 0.0000 0.0000 0.0000
Rb 0.0000 0.0000 0.5000

=====

DFT (GGA-PBEsol) results for a relaxed structure of CaHgW2.

Calculated values
Its space group is P4mm (99). For the formation energy, the calculation gives 0.63 eV per atom. For the total energy, the calculation gives -6.946 eV per atom. Its density of states at the Fermi level is 2.734 states/eV/f.u.

a = 2.7828 Å, b = 2.7828 Å, c = 9.5710 Å
α = 90.00°, β = 90.00°, γ = 90.00°
Fractional coordinates of all 4 atoms:
Ca 0.0000 0.0000 0.5000
W 0.0000 0.0000 0.0022
W 0.5000 0.5000 0.2331
Hg 0.5000 0.5000 0.7646

=====

DFT (GGA-PBEsol) results for a relaxed structure of LaZrBr2.

Calculated values
The value obtained for the energy above the most stable polymorph in this dataset is 31 kJ/mol of formula units. Its space group is Cm (8). For the total energy, the calculation gives -5.292 eV per atom. Its density of states at the Fermi level is 2.713 states/eV/f.u.

a = 3.4703 Å, b = 5.2008 Å, c = 5.6455 Å
α = 103.59°, β = 107.90°, γ = 90.00°
Fractional coordinates of all 4 atoms:
La 0.4946 0.5627 0.9893
Br 0.0192 0.0880 0.0384
Br 0.2411 0.7012 0.4823
Zr 0.7450 0.1481 0.4901

=====

DFT (GGA-PBEsol) results for a relaxed structure of AlPt4Br.

Calculated values
Its space group is F-43m (216). For the total energy, the calculation gives -5.341 eV per atom. Its density of states at the Fermi level is 5.719 states/eV/f.u.

a = 5.2661 Å, b = 5.2661 Å, c = 5.2661 Å
α = 60.00°, β = 60.00°, γ = 60.00°
Fractional coordinates of all 6 atoms:
Br 0.0000 0.0000 0.0000
Al 0.7500 0.7500 0.7500
Pt 0.3753 0.3753 0.3753
Pt 0.8740 0.3753 0.3753
Pt 0.3753 0.3753 0.8740
Pt 0.3753 0.8740 0.3753

=====

DFT (GGA-PBEsol) results for a relaxed structure of CaTa2As.

Calculated values
Its space group is C2/m (12). For the formation energy, the calculation gives 0.33 eV per atom. For the total energy, the calculation gives -7.757 eV per atom. Its density of states at the Fermi level is 4.175 states/eV/f.u.

a = 2.9712 Å, b = 5.0351 Å, c = 5.8809 Å
α = 114.95°, β = 104.01°, γ = 91.41°
Fractional coordinates of all 4 atoms:
Ta 0.5000 0.5000 0.5000
Ta 0.0000 0.0000 0.5000
As 0.5000 0.0000 0.0000
Ca 0.0000 0.5000 0.0000

=====

DFT (GGA-PBEsol) results for a relaxed structure of LiHgPb.

Calculated values
The value obtained for the energy above the most stable polymorph in this dataset is 17 kJ/mol of formula units. Its space group is P3m1 (156). For the formation energy, the calculation gives -0.19 eV per atom. For the total energy, the calculation gives -2.367 eV per atom. Its density of states at the Fermi level is 0.971 states/eV/f.u.

a = 3.5710 Å, b = 4.6835 Å, c = 4.6835 Å
α = 120.00°, β = 90.00°, γ = 90.00°
Fractional coordinates of all 3 atoms:
Li 0.8354 0.3333 0.6667
Pb 0.3329 0.6667 0.3333
Hg 0.8318 0.0000 0.0000

=====

DFT (GGA-PBEsol) results for a relaxed structure of Ca5V3O13.

Calculated values
Its space group is P6_3/m (176). For the total energy, the calculation gives -7.910 eV per atom. Its density of states at the Fermi level is 1.304 states/eV/f.u.

a = 6.8744 Å, b = 9.8047 Å, c = 9.8047 Å
α = 120.00°, β = 90.00°, γ = 90.00°
Fractional coordinates of all 42 atoms:
O 0.9460 0.6617 0.9112
O 0.7500 0.4697 0.6067
O 0.2500 0.1671 0.5000
O 0.5540 0.2495 0.3383
O 0.7500 0.6671 0.1671
O 0.7500 0.3933 0.8630
O 0.9460 0.0888 0.7505
O 0.2500 0.8630 0.4697
O 0.7500 0.5000 0.3329
O 0.2500 0.0000 0.0000
O 0.2500 0.3329 0.8329
O 0.2500 0.5000 0.6671
O 0.9460 0.2495 0.3383
O 0.2500 0.5303 0.3933
O 0.0540 0.7505 0.6617
O 0.0540 0.9112 0.2495
O 0.5540 0.0888 0.7505
O 0.2500 0.6067 0.1370
O 0.7500 0.0000 0.0000
O 0.4460 0.3383 0.0888
O 0.7500 0.1370 0.5303
O 0.0540 0.3383 0.0888
O 0.4460 0.9112 0.2495
O 0.7500 0.8329 0.5000
O 0.4460 0.7505 0.6617
O 0.5540 0.6617 0.9112
Ca 0.2500 0.2507 0.2387
Ca 0.7500 0.0119 0.2507
Ca 0.7500 0.2387 0.9881
Ca 0.5022 0.6667 0.3333
Ca 0.2500 0.9881 0.7493
Ca 0.2500 0.7613 0.0119
Ca 0.4978 0.3333 0.6667
Ca 0.0022 0.3333 0.6667
Ca 0.9978 0.6667 0.3333
Ca 0.7500 0.7493 0.7613
V 0.2500 0.9696 0.3726
V 0.2500 0.6274 0.5970
V 0.2500 0.4030 0.0304
V 0.7500 0.5970 0.9696
V 0.7500 0.3726 0.4030
V 0.7500 0.0304 0.6274

=====

DFT (GGA-PBEsol) results for a relaxed structure of YTi3Cd.

Calculated values
Its space group is Pm-3m (221). For the formation energy, the calculation gives 1.01 eV per atom. For the total energy, the calculation gives -5.588 eV per atom. Its density of states at the Fermi level is 9.487 states/eV/f.u.

a = 4.9843 Å, b = 4.9843 Å, c = 4.9843 Å
α = 90.00°, β = 90.00°, γ = 90.00°
Fractional coordinates of all 5 atoms:
Ti 0.0000 0.5000 0.0000
Ti 0.5000 0.0000 0.0000
Ti 0.0000 0.0000 0.5000
Cd 0.0000 0.0000 0.0000
Y 0.5000 0.5000 0.5000

=====

DFT (GGA-PBEsol) results for a relaxed structure of Co2MoHIr.

Calculated values
Its space group is P4/mmm (123). For the total energy, the calculation gives -6.977 eV per atom. Its density of states at the Fermi level is 7.109 states/eV/f.u.

a = 3.0610 Å, b = 4.5575 Å, c = 4.5575 Å
α = 90.00°, β = 90.00°, γ = 90.00°
Fractional coordinates of all 5 atoms:
Ir 0.0000 0.0000 0.0000
Mo 0.5000 0.5000 0.5000
Co 0.0000 0.0000 0.5000
Co 0.0000 0.5000 0.0000
H 0.5000 0.0000 0.0000

=====

DFT (GGA-PBEsol) results for a relaxed structure of Cd5Hg3.

Calculated values
The value obtained for the energy above the most stable polymorph in this dataset is 21 kJ/mol of formula units. Its space group is C2/m (12). For the formation energy, the calculation gives 0.02 eV per atom. For the total energy, the calculation gives -0.936 eV per atom. Its density of states at the Fermi level is 2.755 states/eV/f.u.

a = 5.7004 Å, b = 7.8534 Å, c = 8.5698 Å
α = 85.39°, β = 70.57°, γ = 76.03°
Fractional coordinates of all 16 atoms:
Hg 0.2566 0.5000 0.4869
Hg 0.1777 0.0000 0.6446
Hg 0.3512 0.3510 0.0000
Hg 0.7434 0.5000 0.5131
Hg 0.8223 0.0000 0.3554
Hg 0.6488 0.6490 0.0000
Cd 0.7533 0.8082 0.6725
Cd 0.0420 0.6595 0.1972
Cd 0.7488 0.0131 0.0000
Cd 0.9580 0.3405 0.8028
Cd 0.2467 0.1918 0.3275
Cd 0.5742 0.1918 0.6725
Cd 0.2392 0.6595 0.8028
Cd 0.7608 0.3405 0.1972
Cd 0.4258 0.8082 0.3275
Cd 0.2512 0.9869 0.0000

=====

DFT (GGA-PBEsol) results for a relaxed structure of InFeAs2.

Calculated values
Its space group is P4/mmm (123). For the formation energy, the calculation gives -0.02 eV per atom. For the total energy, the calculation gives -5.558 eV per atom. Its density of states at the Fermi level is 1.597 states/eV/f.u.

a = 2.9222 Å, b = 2.9222 Å, c = 8.3555 Å
α = 90.00°, β = 90.00°, γ = 90.00°
Fractional coordinates of all 4 atoms:
As 0.0000 0.0000 0.1691
As 0.0000 0.0000 0.8309
Fe 0.5000 0.5000 0.0000
In 0.5000 0.5000 0.5000

=====

DFT (GGA-PBEsol) results for a relaxed structure of CaCr2F10.

Calculated values
Its space group is C2 (5). For the total energy, the calculation gives -5.992 eV per atom. Its density of states at the Fermi level is 7.269 states/eV/f.u.

a = 5.4747 Å, b = 5.4747 Å, c = 7.3544 Å
α = 69.76°, β = 69.76°, γ = 71.99°
Fractional coordinates of all 13 atoms:
F 0.9227 0.0773 0.0000
F 0.8023 0.7523 0.8687
F 0.2589 0.7111 0.2035
F 0.0731 0.9269 0.5000
F 0.2889 0.7411 0.7965
F 0.7580 0.7998 0.3691
F 0.2477 0.1977 0.1313
F 0.2002 0.2420 0.6309
F 0.7449 0.2965 0.2736
F 0.7035 0.2551 0.7264
Ca 0.5418 0.4582 0.0000
Cr 0.9941 0.9944 0.2561
Cr 0.0056 0.0059 0.7439

=====

DFT (GGA-PBEsol) results for a relaxed structure of AgRh4.

Calculated values
The value obtained for the energy above the most stable polymorph in this dataset is 0 kJ/mol of formula units. Its space group is R-3m (166). For the formation energy, the calculation gives 0.10 eV per atom. For the total energy, the calculation gives -7.076 eV per atom. Its density of states at the Fermi level is 5.453 states/eV/f.u.

a = 2.6953 Å, b = 2.6953 Å, c = 11.2406 Å
α = 83.11°, β = 83.11°, γ = 60.00°
Fractional coordinates of all 5 atoms:
Ag 0.0000 0.0000 0.0000
Rh 0.5963 0.5963 0.2112
Rh 0.1990 0.1990 0.4030
Rh 0.4037 0.4037 0.7888
Rh 0.8010 0.8010 0.5970

=====

DFT (GGA-PBEsol) results for a relaxed structure of MgIn3.

Calculated values
Its space group is Imm2 (44). For the formation energy, the calculation gives -0.04 eV per atom. For the total energy, the calculation gives -2.711 eV per atom. Its density of states at the Fermi level is 1.803 states/eV/f.u.

a = 3.3348 Å, b = 5.4785 Å, c = 6.1985 Å
α = 116.23°, β = 105.60°, γ = 90.00°
Fractional coordinates of all 4 atoms:
In 0.5000 0.8442 0.0000
In 0.7429 0.7375 0.4859
In 0.2571 0.2516 0.5141
Mg 0.0000 0.3335 0.0000

=====

DFT (GGA-PBEsol) results for a relaxed structure of Co3SbO8.

Calculated values
Its space group is P6_3mc (186). For the total energy, the calculation gives -6.875 eV per atom. Its density of states at the Fermi level is 8.796 states/eV/f.u.

a = 5.6065 Å, b = 5.6065 Å, c = 9.0279 Å
α = 90.00°, β = 90.00°, γ = 119.99°
Fractional coordinates of all 24 atoms:
O 0.1571 0.8429 0.6023
O 0.8430 0.6861 0.1021
O 0.1570 0.3138 0.6021
O 0.6861 0.8430 0.6021
O 0.9700 0.4849 0.8322
O 0.6667 0.3333 0.6111
O 0.3333 0.6667 0.1111
O 0.0001 0.0000 0.8083
O 0.0301 0.5151 0.3321
O 0.0000 0.0001 0.3083
O 0.3138 0.1570 0.1021
O 0.5151 0.0301 0.8321
O 0.4850 0.5150 0.3321
O 0.4849 0.9700 0.3322
O 0.8429 0.1571 0.1023
O 0.5150 0.4850 0.8321
Sb 0.3334 0.6666 0.4929
Sb 0.6666 0.3334 0.9929
Co 0.1688 0.8312 0.2143
Co 0.3377 0.1688 0.7142
Co 0.8312 0.1688 0.7143
Co 0.8312 0.6624 0.7143
Co 0.6624 0.8312 0.2142
Co 0.1688 0.3377 0.2142

=====

DFT (GGA-PBEsol) results for a relaxed structure of BaLaCr2P.

Calculated values
Its space group is P4/mmm (123). For the formation energy, the calculation gives 1.56 eV per atom. For the total energy, the calculation gives -5.189 eV per atom. Its density of states at the Fermi level is 5.649 states/eV/f.u.

a = 4.6667 Å, b = 4.6667 Å, c = 6.1044 Å
α = 90.00°, β = 90.00°, γ = 90.00°
Fractional coordinates of all 5 atoms:
Cr 0.5000 0.0000 0.0000
Cr 0.0000 0.5000 0.0000
Ba 0.0000 0.0000 0.5000
P 0.5000 0.5000 0.5000
La 0.0000 0.0000 0.0000